CsK2BaSb after structural relaxation. Source: Alexandria, functional PBE-GGA.

Cell: 7.033 7.033 6.834 Å, 90.00 90.00 90.00°
Space group P4/mmm (No. 123)
Unique sites:
Cs 0.000 0.000 0.000
K 0.000 0.500 0.500
Ba 0.500 0.500 0.000
Sb 0.500 0.500 0.500

Computed properties:
As for the magnetization: 0.000 μB/f.u. As for the crystal system: tetragonal. The total energy is -10.5 eV for the cell shown. The formation energy (no corrections) comes out at -0.2794 eV per atom.